Record 1
This record from Alexandria via LeMat-Bulk describes Sc2Ga4Rh after structural relaxation. The functional is PBE.

Output
- crystal system = tetragonal

Cell lengths 4.646, 4.646, 13.962 Å; angles 90.00, 90.00, 90.00 degrees
Space group I4/mmm (No. 139)
Unique sites:
1 Sc 0.000 0.000 0.128
2 Ga 0.000 0.000 0.321
3 Ga 0.000 0.500 0.000
4 Rh 0.000 0.000 0.500

---

Record 2
This record from Alexandria via LeMat-Bulk describes Sc6Ga5Rh after structural relaxation. The functional is PBE.

Output
- crystal system = orthorhombic

Cell lengths 4.730, 14.187, 6.627 Å; angles 90.00, 90.00, 90.00 degrees
Space group Cmmm (No. 65)
Unique sites:
1 Sc 0.000 0.000 0.249
2 Sc 0.000 0.335 0.246
3 Ga 0.000 0.164 0.000
4 Ga 0.000 0.170 0.500
5 Ga 0.000 0.500 0.500
6 Rh 0.000 0.500 0.000

---

Record 3
This record from Alexandria via LeMat-Bulk describes ScGa2Rh2 after structural relaxation. The functional is PBE.

Output
- crystal system = monoclinic

Cell lengths 4.690, 4.396, 8.315 Å; angles 90.00, 103.17, 90.00 degrees
Space group P2_1/m (No. 11)
Unique sites:
1 Sc 0.180 0.250 0.272
2 Ga 0.304 0.250 0.650
3 Ga 0.352 0.750 0.006
4 Rh 0.104 0.250 0.902
5 Rh 0.252 0.750 0.479

---

Record 4
This record from Alexandria via LeMat-Bulk describes ScGa2Rh after structural relaxation. The functional is PBE.

Output
- crystal system = orthorhombic

Cell lengths 8.177, 6.461, 5.172 Å; angles 90.00, 90.00, 90.00 degrees
Space group Pnma (No. 62)
Unique sites:
1 Sc 0.042 0.250 0.129
2 Ga 0.191 0.048 0.633
3 Rh 0.082 0.750 0.363

---

Record 5
This record from Alexandria via LeMat-Bulk describes ScGaRh5 after structural relaxation. The functional is PBE.

Output
- crystal system = tetragonal

Cell lengths 4.109, 4.109, 6.489 Å; angles 90.00, 90.00, 90.00 degrees
Space group P4/mmm (No. 123)
Unique sites:
1 Sc 0.000 0.000 0.000
2 Ga 0.500 0.500 0.500
3 Rh 0.000 0.500 0.278
4 Rh 0.500 0.500 0.000

---

Record 6
This record from Alexandria via LeMat-Bulk describes Sc2Ga4Rh3 after structural relaxation. The functional is PBE.

Output
- crystal system = orthorhombic

Cell lengths 5.359, 9.293, 12.307 Å; angles 90.00, 90.00, 90.00 degrees
Space group Fmmm (No. 69)
Unique sites:
1 Sc 0.000 0.000 0.122
2 Ga 0.000 0.164 0.334
3 Rh 0.000 0.000 0.500
4 Rh 0.250 0.250 0.000

---

| no. | calculated formation energy (eV/atom) |
| --- | --- |
| 1 | -0.20 |
| 2 | -0.66 |
| 3 | -0.75 |
| 4 | -0.71 |
| 5 | -0.37 |
| 6 | -0.63 |